Ba8Au5 | PBE-GGA | optimized geometry

DOS(E_F): 0.739 states/eV per atom
M_tot: 0.0 μB per formula unit
E_form: -55.0 kJ per mole of atoms

abc: 8.997 8.997 11.257
angles: 124.72 124.72 64.53
Atoms (fractional coordinates):
1 Ba 0.031 0.031 0.327
2 Ba 0.034 0.542 0.835
3 Ba 0.458 0.966 0.165
4 Ba 0.465 0.465 0.665
5 Ba 0.535 0.535 0.335
6 Ba 0.542 0.034 0.835
7 Ba 0.966 0.458 0.165
8 Ba 0.969 0.969 0.673
9 Au 0.000 0.000 0.000
10 Au 0.251 0.749 0.500
11 Au 0.255 0.255 0.001
12 Au 0.745 0.745 0.999
13 Au 0.749 0.251 0.500

Ba2Au17 | PBE-GGA | optimized geometry

DOS(E_F): 0.226 states/eV per atom
M_tot: 0.0 μB per formula unit
E_form: -26.6 kJ per mole of atoms

abc: 7.427 7.427 7.427
angles: 83.07 83.07 83.07
Atoms (fractional coordinates):
1 Ba 0.160 0.160 0.160
2 Ba 0.840 0.840 0.840
3 Au 0.000 0.500 0.500
4 Au 0.154 0.154 0.656
5 Au 0.154 0.656 0.154
6 Au 0.199 0.500 0.801
7 Au 0.199 0.801 0.500
8 Au 0.344 0.846 0.846
9 Au 0.401 0.401 0.401
10 Au 0.500 0.000 0.500
11 Au 0.500 0.199 0.801
12 Au 0.500 0.500 0.000
13 Au 0.500 0.801 0.199
14 Au 0.599 0.599 0.599
15 Au 0.656 0.154 0.154
16 Au 0.801 0.199 0.500
17 Au 0.801 0.500 0.199
18 Au 0.846 0.344 0.846
19 Au 0.846 0.846 0.344

BaAu6 | PBE-GGA | optimized geometry

DOS(E_F): 0.191 states/eV per atom
M_tot: 0.0 μB per formula unit
E_form: 20.2 kJ per mole of atoms
energy above the most stable polymorph in this dataset: 376.7 kJ/mol of formula units

abc: 6.464 6.464 6.464
angles: 90.00 90.00 90.00
Atoms (fractional coordinates):
1 Ba 0.000 0.000 0.000
2 Au 0.196 0.500 0.500
3 Au 0.500 0.196 0.500
4 Au 0.500 0.500 0.196
5 Au 0.500 0.500 0.804
6 Au 0.500 0.804 0.500
7 Au 0.804 0.500 0.500